1.
A geometry-optimized Pm5GaTe4 structure, computed with PBE.

a b c (Å): 6.2728 7.7018 7.7018
angles (deg): 80.45 65.97 65.97
Closest atoms and distances in Å follow each position.
Element x y z (fractional)
Pm (0.9052, 0.3781, 0.8135)  1 Ga 2.97, 5 Te 3.14-3.26
Te (0.1976, 0.2094, 0.3973)  6 Pm 3.14-3.26
Ga (0.0013, 0.0000, 0.0000)  6 Pm 2.97-3.14
Pm (0.2833, 0.8135, 0.6219)  1 Ga 2.97, 5 Te 3.14-3.26
Pm (0.0968, 0.6219, 0.1865)  1 Ga 2.97, 5 Te 3.14-3.26
Te (0.4070, 0.3973, 0.7906)  6 Pm 3.14-3.26
Pm (0.5013, 0.0000, 0.0000)  2 Ga 3.14, 4 Te 3.16
Te (0.5949, 0.6027, 0.2094)  6 Pm 3.14-3.26
Te (0.8043, 0.7906, 0.6027)  6 Pm 3.14-3.26
Pm (0.7187, 0.1865, 0.3781)  1 Ga 2.97, 5 Te 3.14-3.26

Output
Uncorrected formation energy ... -12.93 eV per formula unit
Volume ... 31.04 A^3/atom
Space-group type ... No. 87
Magnetization ... 0.00 μB per cell
Total energy ... -5.23 eV/atom

2.
A geometry-optimized Pm4GaTe3 structure, computed with PBE.

a b c (Å): 6.2698 6.2698 12.5180
angles (deg): 90.00 90.00 90.00
Closest atoms and distances in Å follow each position.
Element x y z (fractional)
Pm (0.0644, 0.2501, 0.2402)  1 Ga 3.01, 5 Te 3.14-3.25
Pm (0.0644, 0.7500, 0.5000)  4 Te 3.13, 2 Ga 3.13-3.14
Te (0.0644, 0.7501, 0.2500)  6 Pm 3.13-3.14
Pm (0.0645, 0.7500, 0.0000)  4 Te 3.13, 2 Ga 3.13
Ga (0.5642, 0.7500, 0.5000)  6 Pm 3.01-3.14
Pm (0.5644, 0.7499, 0.2598)  1 Ga 3.01, 5 Te 3.14-3.25
Te (0.5645, 0.7500, 0.0000)  6 Pm 3.13-3.25
Te (0.5644, 0.2499, 0.2500)  6 Pm 3.13-3.14
Pm (0.5644, 0.2500, 0.0000)  4 Te 3.13, 2 Ga 3.13-3.14
Pm (0.5644, 0.7499, 0.7402)  1 Ga 3.01, 5 Te 3.14-3.25
Ga (0.0642, 0.2500, 0.0000)  6 Pm 3.01-3.14
Pm (0.0644, 0.2501, 0.7598)  1 Ga 3.01, 5 Te 3.14-3.25
Te (0.0644, 0.7501, 0.7500)  6 Pm 3.13-3.14
Te (0.0645, 0.2500, 0.5000)  6 Pm 3.13-3.25
Te (0.5644, 0.2499, 0.7500)  6 Pm 3.13-3.14
Pm (0.5645, 0.2500, 0.5000)  4 Te 3.13, 2 Ga 3.13

Output
Uncorrected formation energy ... -9.94 eV per formula unit
Relative energy among the computed polymorphs ... 0.0141 eV/atom
Volume ... 30.76 A^3/atom
Space-group type ... No. 139
Magnetization ... 0.00 μB per cell
Total energy ... -5.17 eV/atom

3.
A geometry-optimized Pm2GaTe5 structure, computed with PBE.

a b c (Å): 6.2462 7.9884 13.6364
angles (deg): 90.00 90.00 113.01
Closest atoms and distances in Å follow each position.
Element x y z (fractional)
Pm (0.8234, 0.6467, 0.4240)  6 Te 3.11-3.18
Te (0.6871, 0.3742, 0.2500)  2 Pm 3.11, 2 Ga 3.12
Pm (0.1766, 0.3533, 0.5760)  6 Te 3.11-3.18
Te (0.6810, 0.3620, 0.5935)  1 Ga 2.82, 3 Pm 3.12-3.13
Te (0.0355, 0.0711, 0.3993)  1 Te 2.94, 1 Ga 3.09, 2 Pm 3.14-3.18
Te (0.9645, 0.9289, 0.8993)  1 Te 2.94, 1 Ga 3.09, 2 Pm 3.14-3.18
Te (0.3129, 0.6258, 0.7500)  2 Pm 3.11, 2 Ga 3.12
Pm (0.1766, 0.3533, 0.9240)  6 Te 3.11-3.18
Ga (0.8065, 0.6129, 0.7500)  6 Te 2.82-3.12
Ga (0.1935, 0.3871, 0.2500)  6 Te 2.82-3.12
Te (0.9645, 0.9289, 0.6007)  1 Te 2.94, 1 Ga 3.09, 2 Pm 3.14-3.18
Pm (0.8234, 0.6467, 0.0760)  6 Te 3.11-3.18
Te (0.0355, 0.0711, 0.1007)  1 Te 2.94, 1 Ga 3.09, 2 Pm 3.14-3.18
Te (0.3190, 0.6380, 0.4065)  1 Ga 2.82, 3 Pm 3.12-3.13
Te (0.6810, 0.3620, 0.9065)  1 Ga 2.82, 3 Pm 3.12-3.13
Te (0.3190, 0.6380, 0.0935)  1 Ga 2.82, 3 Pm 3.12-3.13

Output
Uncorrected formation energy ... -6.39 eV per formula unit
Volume ... 39.14 A^3/atom
Space-group type ... No. 63
Magnetization ... 0.03 μB per cell
Total energy ... -4.33 eV/atom

4.
A geometry-optimized PmTl2GaTe4 structure, computed with PBE.

a b c (Å): 9.1649 9.1649 9.0837
angles (deg): 119.69 119.69 91.51
Closest atoms and distances in Å follow each position.
Element x y z (fractional)
Ga (0.0000, 0.0000, 0.0000)  6 Te 2.99-3.07
Te (0.2432, 0.2572, 0.4670)  2 Ga 2.99, 1 Pm 3.20
Ga (0.5000, 0.5000, 0.5000)  6 Te 2.99-3.07
Te (0.7472, 0.2799, 0.5137)  1 Ga 3.07, 2 Pm 3.12, 2 Tl 3.29
Tl (0.0000, 0.0000, 0.5000)  6 Te 3.42-3.50
Te (0.2528, 0.7201, 0.4863)  1 Ga 3.07, 2 Pm 3.12, 2 Tl 3.29
Pm (0.0000, 0.5000, 0.0000)  6 Te 3.12-3.20
Tl (0.5000, 0.0000, 0.0000)  6 Te 3.29-3.39
Tl (0.5000, 0.0000, 0.5000)  6 Te 3.29-3.39
Pm (0.0000, 0.5000, 0.5000)  6 Te 3.12-3.20
Te (0.7799, 0.2472, 0.0137)  1 Ga 3.07, 2 Pm 3.12, 2 Tl 3.29
Te (0.2201, 0.7528, 0.9863)  1 Ga 3.07, 2 Pm 3.12, 2 Tl 3.29
Tl (0.5000, 0.5000, 0.0000)  6 Te 3.42-3.50
Te (0.7568, 0.7428, 0.5330)  2 Ga 2.99, 1 Pm 3.20
Te (0.2428, 0.2568, 0.0330)  2 Ga 2.99, 1 Pm 3.20
Te (0.7572, 0.7432, 0.9670)  2 Ga 2.99, 1 Pm 3.20

Output
Uncorrected formation energy ... -4.58 eV per formula unit
Volume ... 33.57 A^3/atom
Space-group type ... No. 74
Magnetization ... 0.00 μB per cell
Total energy ... -3.71 eV/atom

5.
A geometry-optimized Pm3ThGa2 structure, computed with PBE.

a b c (Å): 5.4095 7.2294 9.4716
angles (deg): 112.43 106.59 90.00
Closest atoms and distances in Å follow each position.
Element x y z (fractional)
Pm (0.8175, 0.0675, 0.6351)  6 Ga 3.29, 4 Pm 3.52-3.61, 2 Th 3.54
Pm (0.5000, 0.2500, 0.0000)  4 Ga 3.12, 4 Th 3.25
Ga (0.6531, 0.1527, 0.3054)  8 Pm 3.12-3.29
Th (0.0000, 0.0000, 0.0000)  8 Pm 3.25-3.54, 2 Th 3.61
Pm (0.8175, 0.5675, 0.6351)  6 Ga 3.29, 4 Pm 3.52-3.61, 2 Th 3.54
Pm (0.5000, 0.7500, 0.0000)  4 Ga 3.12, 4 Th 3.25
Ga (0.6523, 0.6527, 0.3054)  8 Pm 3.12-3.29
Th (0.0000, 0.5000, 0.0000)  8 Pm 3.25-3.54, 2 Th 3.61
Ga (0.3469, 0.8473, 0.6946)  8 Pm 3.12-3.29
Pm (0.1825, 0.4325, 0.3649)  6 Ga 3.29, 4 Pm 3.52-3.61, 2 Th 3.54
Ga (0.3477, 0.3473, 0.6946)  8 Pm 3.12-3.29
Pm (0.1825, 0.9325, 0.3649)  6 Ga 3.29, 4 Pm 3.52-3.61, 2 Th 3.54

Output
Energy of formation ... -0.283 eV/atom
Volume ... 27.14 A^3/atom
Space-group type ... No. 65
Magnetization ... 0.00 μB per cell
Total energy ... -4.90 eV/atom

6.
A geometry-optimized Pm3Th3Ga4 structure, computed with PBE.

a b c (Å): 4.3419 7.8868 7.8868
angles (deg): 90.29 90.00 90.00
Closest atoms and distances in Å follow each position.
Element x y z (fractional)
Ga (0.0000, 0.8842, 0.8808)  1 Ga 2.61
Pm (0.5000, 0.3223, 0.3251)  6 Ga 3.16-3.21
Th (0.0000, 0.5017, 0.0013)  4 Ga 3.15-3.17
Pm (0.5000, 0.8239, 0.1761)  6 Ga 3.18-3.22
Pm (0.5000, 0.6749, 0.6777)  6 Ga 3.16-3.21
Ga (0.0000, 0.3818, 0.6182)  1 Ga 2.62
Ga (0.0000, 0.6160, 0.3840)  1 Ga 2.62
Ga (0.0000, 0.1192, 0.1158)  1 Ga 2.61
Th (0.0000, 0.9987, 0.4983)  4 Ga 3.15-3.17
Th (0.5000, 0.1773, 0.8227)  6 Ga 3.15-3.21

Output
Energy of formation ... -0.435 eV/atom
Volume ... 27.01 A^3/atom
Space-group type ... No. 38
Magnetization ... 0.00 μB per cell
Total energy ... -5.30 eV/atom

7.
A geometry-optimized Pm4ThGa4 structure, computed with PBE.

a b c (Å): 4.8663 10.2880 10.2880
angles (deg): 90.00 90.00 90.00
Closest atoms and distances in Å follow each position.
Element x y z (fractional)
Ga (0.5000, 0.1729, 0.0720)  2 Ga 2.72, 2 Pm 3.00-3.04
Ga (0.5000, 0.9280, 0.1729)  2 Ga 2.72, 2 Pm 3.00-3.04
Pm (0.9999, 0.8664, 0.3532)  4 Ga 3.00-3.13
Pm (0.4999, 0.1468, 0.3664)  4 Ga 3.00-3.13
Ga (0.5000, 0.8271, 0.9280)  2 Ga 2.72, 2 Pm 3.00-3.04
Th (0.0000, 0.0000, 0.0000)  8 Ga 3.10
Ga (0.0000, 0.6729, 0.5720)  2 Ga 2.72, 2 Pm 3.00-3.04
Pm (0.4999, 0.8532, 0.6336)  4 Ga 3.00-3.13
Ga (0.0000, 0.3271, 0.4280)  2 Ga 2.72, 2 Pm 3.00-3.04
Ga (0.5000, 0.0720, 0.8271)  2 Ga 2.72, 2 Pm 3.00-3.04
Pm (0.0001, 0.3532, 0.1336)  4 Ga 3.00-3.13
Ga (0.0000, 0.5720, 0.3271)  2 Ga 2.72, 2 Pm 3.00-3.04
Ga (0.0000, 0.4280, 0.6729)  2 Ga 2.72, 2 Pm 3.00-3.04
Th (0.5000, 0.5000, 0.5000)  8 Ga 3.10
Pm (0.9999, 0.1336, 0.6468)  4 Ga 3.00-3.13
Pm (0.5001, 0.6336, 0.1468)  4 Ga 3.00-3.13
Pm (0.5001, 0.3664, 0.8532)  4 Ga 3.00-3.13
Pm (0.0001, 0.6468, 0.8664)  4 Ga 3.00-3.13

Output
Energy of formation ... -0.366 eV/atom
Volume ... 28.61 A^3/atom
Space-group type ... No. 87
Magnetization ... 0.00 μB per cell
Total energy ... -4.65 eV/atom

8.
A geometry-optimized Pm4ThGa5 structure, computed with PBE.

a b c (Å): 3.6358 3.6358 18.7594
angles (deg): 90.00 90.00 90.00
Closest atoms and distances in Å follow each position.
Element x y z (fractional)
Ga (0.5000, 0.5000, 0.5000)  8 Pm 3.17
Pm (0.0000, 0.0000, 0.5987)  8 Ga 3.16-3.17
Th (0.0000, 0.0000, 0.0000)  8 Ga 3.23
Ga (0.5000, 0.5000, 0.1043)  4 Pm 3.17, 4 Th 3.23
Pm (0.0000, 0.0000, 0.2035)  8 Ga 3.17-3.18
Pm (0.0000, 0.0000, 0.4013)  8 Ga 3.16-3.17
Ga (0.5000, 0.5000, 0.6967)  8 Pm 3.16-3.18
Ga (0.5000, 0.5000, 0.3033)  8 Pm 3.16-3.18
Pm (0.0000, 0.0000, 0.7965)  8 Ga 3.17-3.18
Ga (0.5000, 0.5000, 0.8957)  4 Pm 3.17, 4 Th 3.23

Output
Energy of formation ... -0.531 eV/atom
Volume ... 24.80 A^3/atom
Space-group type ... No. 123
Magnetization ... 0.00 μB per cell
Total energy ... -4.69 eV/atom

9.
A geometry-optimized Pm2ThGa6 structure, computed with PBE.

a b c (Å): 4.2513 7.3902 7.3902
angles (deg): 120.00 90.00 90.00
Closest atoms and distances in Å follow each position.
Element x y z (fractional)
Pm (0.0000, 0.6667, 0.3333)  12 Ga 3.25
Ga (0.5000, 0.3335, 0.3335)  3 Ga 2.46
Ga (0.5000, 0.3335, 0.0000)  3 Ga 2.46
Ga (0.5000, 0.6665, 0.6665)  3 Ga 2.46
Pm (0.0000, 0.3333, 0.6667)  12 Ga 3.25
Ga (0.5000, 0.0000, 0.6665)  3 Ga 2.46
Th (0.0000, 0.0000, 0.0000)  12 Ga 3.25
Ga (0.5000, 0.0000, 0.3335)  3 Ga 2.46
Ga (0.5000, 0.6665, 0.0000)  3 Ga 2.46

Output
Energy of formation ... -0.672 eV/atom
Relative energy among the computed polymorphs ... 0.0000 eV/atom
Volume ... 22.34 A^3/atom
Space-group type ... No. 191
Magnetization ... 0.00 μB per cell
Total energy ... -4.57 eV/atom

10.
A geometry-optimized PmThGa6 structure, computed with PBE.

a b c (Å): 4.6285 6.4284 6.4284
angles (deg): 119.96 90.00 90.00
Closest atoms and distances in Å follow each position.
Element x y z (fractional)
Pm (0.0000, 0.0835, 0.9165)  12 Ga 3.13-3.23
Ga (0.5000, 0.4617, 0.1061)  6 Ga 2.78-2.81
Ga (0.0000, 0.6076, 0.3924)  6 Ga 2.74-2.81
Ga (0.0000, 0.6079, 0.9657)  6 Ga 2.74-2.81
Th (0.5000, 0.4164, 0.5836)  12 Ga 3.14-3.23
Ga (0.5000, 0.8943, 0.1057)  6 Ga 2.78-2.81
Ga (0.5000, 0.8939, 0.5383)  6 Ga 2.78-2.81
Ga (0.0000, 0.0343, 0.3921)  6 Ga 2.74-2.81

Output
Energy of formation ... -0.553 eV/atom
Volume ... 20.71 A^3/atom
Space-group type ... No. 187
Magnetization ... 0.00 μB per cell
Total energy ... -4.34 eV/atom